(1)
## CrS2BrN (PBE-GGA)

Data for crystalline CrS2BrN at its relaxed geometry.

Cell lengths 4.7095, 4.7095, 3.5770 Å; angles 90.00, 90.00, 90.00 degrees
With the nearest neighbours (Å) after each atom.
Positions (direct):
Br1 0.5000 0.5000 0.5000  8 S 2.96
S1 0.0000 0.5000 0.0000  2 Cr 2.35
S2 0.5000 0.0000 0.0000  2 Cr 2.35
Cr1 0.0000 0.0000 0.0000  2 N 1.79
N1 0.0000 0.0000 0.5000  2 Cr 1.79

Values from the calculation:
E in eV per atom: -5.12
DOS at the Fermi energy in states/eV/f.u.: 3.9
Distance to the lowest polymorph of the same formula in meV per atom: 0
ΔE_f (raw) in eV/atom: 0.4535

(2)
## Er2Zn3Ga2 (PBE-GGA)

Data for crystalline Er2Zn3Ga2 at its relaxed geometry.

Cell lengths 4.2822, 5.6190, 6.4879 Å; angles 110.92, 90.00, 112.40 degrees
With the nearest neighbours (Å) after each atom.
Positions (direct):
Ga1 0.8505 0.7010 0.7530  5 Zn 2.60-2.76
Ga2 0.1495 0.2990 0.2470  5 Zn 2.60-2.76
Zn1 0.5923 0.1846 0.4221  2 Zn 2.49-2.53, 3 Ga 2.60-2.71
Zn2 0.5000 0.0000 0.0000  2 Zn 2.53, 4 Ga 2.76
Zn3 0.4077 0.8154 0.5779  2 Zn 2.49-2.53, 3 Ga 2.60-2.71
Er1 0.8478 0.6956 0.2335  6 Zn 2.98-3.34, 4 Ga 3.00-3.13
Er2 0.1522 0.3044 0.7665  6 Zn 2.98-3.34, 4 Ga 3.00-3.13

Values from the calculation:
Calculated formation energy in meV/atom: -455
E in eV per atom: -3.17
DOS at the Fermi energy in states/eV/f.u.: 3.4
Distance to the lowest polymorph of the same formula in meV per atom: 0

(3)
## MgNbTl2Co (PBE-GGA)

Data for crystalline MgNbTl2Co at its relaxed geometry.

Cell lengths 5.0636, 5.0636, 4.3403 Å; angles 90.00, 90.00, 90.00 degrees
With the nearest neighbours (Å) after each atom.
Positions (direct):
Mg1 0.0000 0.0000 0.0000  2 Co 2.17
Co1 0.0000 0.0000 0.5000  2 Mg 2.17
Tl1 0.0000 0.5000 0.0000  2 Mg 2.53
Tl2 0.5000 0.0000 0.0000  2 Mg 2.53
Nb1 0.5000 0.5000 0.5000  8 Tl 3.33, 4 Co 3.58

Values from the calculation:
Calculated formation energy in meV/atom: 1395
E in eV per atom: -3.31
DOS at the Fermi energy in states/eV/f.u.: 7.6

(4)
## ZrPIO2 (PBE-GGA)

Data for crystalline ZrPIO2 at its relaxed geometry.

Cell lengths 4.0708, 4.0708, 5.9640 Å; angles 90.00, 90.00, 90.00 degrees
With the nearest neighbours (Å) after each atom.
Positions (direct):
Zr1 0.0000 0.0000 0.0000  4 O 2.04
I1 0.5000 0.5000 0.5000  4 P 2.88
P1 0.0000 0.0000 0.5000  4 I 2.88, 2 Zr 2.98
O1 0.0000 0.5000 0.0000  2 Zr 2.04
O2 0.5000 0.0000 0.0000  2 Zr 2.04

Values from the calculation:
E in eV per atom: -6.32
DOS at the Fermi energy in states/eV/f.u.: 2.4
Distance to the lowest polymorph of the same formula in meV per atom: 0
ΔE_f (raw) in eV/atom: -1.2337

(5)
## GaBN2F (PBE-GGA)

Data for crystalline GaBN2F at its relaxed geometry.

Cell lengths 3.1419, 3.1419, 5.6099 Å; angles 90.00, 90.00, 90.00 degrees
With the nearest neighbours (Å) after each atom.
Positions (direct):
B1 0.0000 0.0000 0.0000  4 N 1.57
N1 0.5000 0.0000 0.0000  2 B 1.57
N2 0.0000 0.5000 0.0000  2 B 1.57
F1 0.0000 0.0000 0.5000  4 Ga 2.22
Ga1 0.5000 0.5000 0.5000  4 F 2.22

Values from the calculation:
E in eV per atom: -5.34
DOS at the Fermi energy in states/eV/f.u.: 1.0
Distance to the lowest polymorph of the same formula in meV per atom: 0
ΔE_f (raw) in eV/atom: 0.3099

(6)
## Cs2TeSe2 (PBE-GGA)

Data for crystalline Cs2TeSe2 at its relaxed geometry.

Cell lengths 8.0145, 8.0145, 5.6555 Å; angles 90.00, 90.00, 90.00 degrees
With the nearest neighbours (Å) after each atom.
Positions (direct):
Se1 0.8371 0.3371 0.0000  2 Te 3.00
Se2 0.6629 0.8371 0.0000  2 Te 3.00
Se3 0.1629 0.6629 0.0000  2 Te 3.00
Se4 0.3371 0.1629 0.0000  2 Te 3.00
Cs1 0.3397 0.8397 0.5000  6 Se 3.47-3.84, 1 Cs 3.63
Cs2 0.6603 0.1603 0.5000  6 Se 3.47-3.84, 1 Cs 3.63
Cs3 0.8397 0.6603 0.5000  6 Se 3.47-3.84, 1 Cs 3.63
Cs4 0.1603 0.3397 0.5000  6 Se 3.47-3.84, 1 Cs 3.63
Te1 0.5000 0.5000 0.0000  4 Se 3.00
Te2 0.0000 0.0000 0.0000  4 Se 3.00

Values from the calculation:
E in eV per atom: -3.04
DOS at the Fermi energy in states/eV/f.u.: 0.6
Distance to the lowest polymorph of the same formula in meV per atom: 123
ΔE_f (raw) in eV/atom: -0.6803

(7)
## CeY2S (PBE-GGA)

Data for crystalline CeY2S at its relaxed geometry.

Cell lengths 3.7018, 3.7018, 9.6529 Å; angles 78.94, 78.94, 60.00 degrees
With the nearest neighbours (Å) after each atom.
Positions (direct):
Ce1 0.4999 0.4999 0.5003  6 Y 3.67-3.68, 6 Ce 3.70
Y1 0.0608 0.0608 0.8177  3 S 2.74
Y2 0.2726 0.2726 0.1822  3 S 2.74
S1 0.6667 0.6667 0.9998  6 Y 2.74

Values from the calculation:
E in eV per atom: -6.63
DOS at the Fermi energy in states/eV/f.u.: 7.3
Distance to the lowest polymorph of the same formula in meV per atom: 0
ΔE_f (raw) in eV/atom: -0.8803

(8)
## ReAs2Cl (PBE-GGA)

Data for crystalline ReAs2Cl at its relaxed geometry.

Cell lengths 2.9222, 2.9222, 9.9425 Å; angles 90.00, 90.00, 116.39 degrees
With the nearest neighbours (Å) after each atom.
Positions (direct):
As1 0.0000 0.0000 0.5432  2 Re 2.57
As2 0.0000 0.0000 0.9568  2 Re 2.57
Cl1 0.5000 0.5000 0.2500  6 Cl 2.92-3.08
Re1 0.5000 0.5000 0.7500  4 As 2.57

Values from the calculation:
E in eV per atom: -5.53
DOS at the Fermi energy in states/eV/f.u.: 2.9
Distance to the lowest polymorph of the same formula in meV per atom: 310
ΔE_f (raw) in eV/atom: 0.3656